Record 1
Material: InNi2Br
Method: DFT, GGA-PBE
State: relaxed

abc: 4.6996 4.6996 6.9343
angles: 121.94 121.94 40.14
Atoms (fractional coordinates):
1 In 0.0000 0.0000 0.0000
2 Ni 0.3462 0.3462 0.1531
3 Ni 0.6538 0.6538 0.8469
4 Br 0.0000 0.0000 0.5000

## Properties
density: 6.35 g cm⁻³
E_form (uncorrected): 0.3 eV/f.u.
offset from the most stable computed form: 0.015 eV per atom
total DFT energy (no corrections): -15.72 eV per formula unit
spin magnetization: 0.0 μB per cell

=====

Record 2
Material: Tl2Sn2I7
Method: DFT, GGA-PBE
State: relaxed

abc: 8.7832 8.7832 7.6099
angles: 95.92 95.92 88.72
Atoms (fractional coordinates):
1 Tl 0.2278 0.7722 0.0000
2 Tl 0.7722 0.2278 0.0000
3 Sn 0.2620 0.2620 0.5390
4 Sn 0.7380 0.7380 0.4610
5 I 0.0514 0.4130 0.7722
6 I 0.0777 0.0777 0.2452
7 I 0.4130 0.0514 0.7722
8 I 0.5000 0.5000 0.5000
9 I 0.5870 0.9486 0.2278
10 I 0.9223 0.9223 0.7548
11 I 0.9486 0.5870 0.2278

## Properties
density: 4.39 g cm⁻³
E_form (uncorrected): -5.0 eV/f.u.
offset from the most stable computed form: 0.000 eV per atom
total DFT energy (no corrections): -28.61 eV per formula unit
spin magnetization: 0.0 μB per cell

=====

Look up the spin magnetization of the first one.
0.0 μB per cell

=====

The lowest total DFT energy (no corrections) belongs to which entry?
Tl2Sn2I7

=====

Please write out number 1 again, unchanged.
Material: InNi2Br
Method: DFT, GGA-PBE
State: relaxed

abc: 4.6996 4.6996 6.9343
angles: 121.94 121.94 40.14
Atoms (fractional coordinates):
1 In 0.0000 0.0000 0.0000
2 Ni 0.3462 0.3462 0.1531
3 Ni 0.6538 0.6538 0.8469
4 Br 0.0000 0.0000 0.5000

## Properties
density: 6.35 g cm⁻³
E_form (uncorrected): 0.3 eV/f.u.
offset from the most stable computed form: 0.015 eV per atom
total DFT energy (no corrections): -15.72 eV per formula unit
spin magnetization: 0.0 μB per cell